# 1
GGA-PBE La2BC, relaxed; space group = Immm (71); mass density = 5875 kg/m3; energy above the most stable polymorph in this dataset = 0 meV/atom; final energy = -6.47 eV/atom; DOS(E_F) = 0.938 states/eV/atom; V = 85.0 Å³/cell
1.0
-1.5529 1.8312 7.4704
1.5529 -1.8312 7.4704
1.5529 1.8312 -7.4704
La B C
2 1 1
Cartesian
0.0000 0.0000 1.8731
0.0000 0.0000 13.0677
0.0000 0.0000 7.4704
0.0000 1.8312 0.0000

=====

# 2
GGA-PBE La2BC, relaxed; space group = I-42d (122); mass density = 5445 kg/m3; energy above the most stable polymorph in this dataset = 533 meV/atom; final energy = -5.94 eV/atom; DOS(E_F) = 0.984 states/eV/atom; V = 183.4 Å³/cell
1.0
-3.4182 3.4182 3.9234
3.4182 -3.4182 3.9234
3.4182 3.4182 -3.9234
La B C
4 2 2
Cartesian
5.1273 1.4904 -0.9808
1.4904 1.7091 0.9808
-1.7091 1.9278 2.9425
1.9278 1.7091 4.9042
3.4182 0.0000 1.9617
0.0000 0.0000 3.9234
0.0000 0.0000 0.0000
0.0000 3.4182 1.9617

=====

# 3
GGA-PBE LaB3C, relaxed; space group = Pm-3m (221); mass density = 5373 kg/m3; energy above the most stable polymorph in this dataset = 1310 meV/atom; final energy = -5.35 eV/atom; DOS(E_F) = 0.356 states/eV/atom; V = 56.7 Å³/cell
1.0
3.8409 0.0000 0.0000
0.0000 3.8409 0.0000
0.0000 0.0000 3.8409
La B C
1 3 1
Cartesian
0.0000 0.0000 0.0000
0.0000 1.9204 1.9204
1.9204 0.0000 1.9204
1.9204 1.9204 0.0000
1.9204 1.9204 1.9204

=====

# 4
GGA-PBE La3BC3, relaxed; space group = P6_3/m (176); mass density = 5905 kg/m3; final energy = -7.11 eV/atom; DOS(E_F) = 0.189 states/eV/atom; V = 260.7 Å³/cell
1.0
7.4157 0.0000 0.0000
-3.7079 6.4222 0.0000
0.0000 0.0000 5.4740
La B C
6 2 6
Cartesian
-0.8897 2.3080 1.3685
-1.2642 6.0387 1.3685
1.5540 1.9245 4.1055
2.1539 4.4977 1.3685
4.9720 0.3835 4.1055
4.5976 4.1142 4.1055
0.0000 4.2815 4.1055
3.7079 2.1407 1.3685
-0.7330 2.7920 4.1055
-0.9234 5.6610 4.1055
2.0515 2.0308 1.3685
1.6564 4.3914 4.1055
4.6313 0.7612 1.3685
4.4408 3.6302 1.3685

=====

# 5
GGA-PBE LaB3C, relaxed; space group = Pmn2_1 (31); mass density = 5250 kg/m3; energy above the most stable polymorph in this dataset = 0 meV/atom; final energy = -6.66 eV/atom; DOS(E_F) = 0.193 states/eV/atom; V = 116.0 Å³/cell
1.0
3.7161 0.0000 0.0000
0.0000 7.8470 0.0000
0.0000 0.0000 3.9778
La B C
2 6 2
Cartesian
0.0000 1.1885 0.0000
1.8580 6.6585 1.9889
0.0000 5.5441 0.5642
0.9265 3.2092 1.4247
0.9316 4.6378 3.4136
1.8580 2.3029 2.5531
2.7845 4.6378 3.4136
2.7896 3.2092 1.4247
0.0000 4.5341 1.9867
1.8580 3.3129 3.9756

=====

# 6
GGA-PBE LaB5C2, relaxed; space group = Immm (71); mass density = 4275 kg/m3; final energy = -6.66 eV/atom; DOS(E_F) = 0.248 states/eV/atom; V = 84.3 Å³/cell
1.0
-2.2624 2.7868 3.3423
2.2624 -2.7868 3.3423
2.2624 2.7868 -3.3423
La B C
1 5 2
Cartesian
0.0000 0.0000 0.0000
2.2624 0.0000 0.0000
1.3293 2.7868 -0.8318
0.9331 0.0000 2.5105
1.3293 2.7868 0.8318
0.9331 0.0000 4.1741
2.2624 0.0000 1.5663
0.0000 2.7868 1.7760

=====

# 7
GGA-PBE LaB3C3, relaxed; space group = P6_3/m (176); mass density = 3911 kg/m3; energy above the most stable polymorph in this dataset = 1104 meV/atom; final energy = -6.51 eV/atom; DOS(E_F) = 0.676 states/eV/atom; V = 176.1 Å³/cell
1.0
8.6182 0.0000 0.0000
-4.3091 7.4636 0.0000
0.0000 0.0000 2.7380
La B C
2 6 6
Cartesian
0.0000 4.9757 0.6845
4.3091 2.4878 2.0535
-3.7107 6.4789 2.0535
0.5535 1.0106 2.0535
1.1519 0.0260 0.6845
3.1572 7.4376 2.0535
3.7556 6.4530 0.6845
8.0197 0.9846 0.6845
-1.9753 3.8672 2.0535
1.9477 3.8193 2.0535
0.0276 7.2406 2.0535
4.2815 0.2229 0.6845
2.3614 3.6442 0.6845
6.2844 3.5964 0.6845

=====

# 8
GGA-PBE LaBC3, relaxed; space group = Pm-3m (221); mass density = 5942 kg/m3; energy above the most stable polymorph in this dataset = 0 meV/atom; final energy = -6.39 eV/atom; DOS(E_F) = 0.557 states/eV/atom; V = 51.9 Å³/cell
1.0
3.7304 0.0000 0.0000
0.0000 3.7304 0.0000
0.0000 0.0000 3.7304
La B C
1 1 3
Cartesian
0.0000 0.0000 0.0000
1.8652 1.8652 1.8652
0.0000 1.8652 1.8652
1.8652 0.0000 1.8652
1.8652 1.8652 0.0000

=====

# 9
GGA-PBE La2BC, relaxed; space group = Fm-3m (225); mass density = 6662 kg/m3; energy above the most stable polymorph in this dataset = 638 meV/atom; final energy = -5.84 eV/atom; DOS(E_F) = 0.638 states/eV/atom; V = 74.9 Å³/cell
1.0
0.0000 3.3462 3.3462
3.3462 0.0000 3.3462
3.3462 3.3462 0.0000
La B C
2 1 1
Cartesian
1.6731 1.6731 1.6731
5.0192 5.0192 5.0192
0.0000 0.0000 0.0000
3.3462 3.3462 3.3462

=====

# 10
GGA-PBE La2BC3, relaxed; space group = Fmmm (69); mass density = 6361 kg/m3; final energy = -7.48 eV/atom; DOS(E_F) = 0.293 states/eV/atom; V = 169.5 Å³/cell
1.0
0.0000 4.0565 5.6920
3.6703 0.0000 5.6920
3.6703 4.0565 0.0000
La B C
4 2 6
Cartesian
5.8408 4.0565 5.6920
1.8352 2.0282 2.8460
5.5055 6.0847 8.5380
1.4998 4.0565 5.6920
3.6703 4.0565 3.9497
3.6703 4.0565 7.4343
3.6703 4.0565 2.4184
3.6703 2.7563 4.9824
3.6703 2.7563 6.4016
3.6703 5.3567 4.9824
3.6703 5.3567 6.4016
3.6703 4.0565 8.9657

=====

# 11
GGA-PBE La2B2C3, relaxed; space group = C2/m (12); mass density = 4889 kg/m3; final energy = -7.54 eV/atom; DOS(E_F) = 0.081 states/eV/atom; V = 113.9 Å³/cell
1.0
7.1133 -1.9593 0.0000
7.1133 1.9593 0.0000
-0.2981 0.0000 4.0873
La B C
2 2 3
Cartesian
2.0322 0.0000 1.0529
11.8963 0.0000 3.0343
5.9302 0.0000 0.7966
7.9983 0.0000 3.2906
4.5607 0.0000 1.1902
7.1133 0.0000 0.0000
9.3678 0.0000 2.8971

=====

# 12
GGA-PBE La2B6C3, relaxed; space group = P-62m (189); mass density = 5531 kg/m3; final energy = -6.77 eV/atom; DOS(E_F) = 0.254 states/eV/atom; V = 113.7 Å³/cell
1.0
6.6261 0.0000 0.0000
-3.3131 5.7384 0.0000
0.0000 0.0000 2.9903
La B C
2 6 3
Cartesian
0.0000 3.8256 0.0000
3.3131 1.9128 0.0000
-0.8216 1.4231 1.4951
-2.8059 4.8599 0.0000
0.5072 0.8784 0.0000
1.6433 0.0000 1.4951
2.4914 4.3153 1.4951
5.6118 0.0000 0.0000
-2.4649 4.2693 1.4951
0.8481 1.4690 1.4951
4.9298 0.0000 1.4951

=====

# 13
GGA-PBE LaNb2BC, relaxed; space group = P4/mmm (123); mass density = 7605 kg/m3; final energy = -7.30 eV/atom; DOS(E_F) = 0.824 states/eV/atom; V = 75.9 Å³/cell
1.0
4.8608 0.0000 0.0000
0.0000 4.8608 0.0000
0.0000 0.0000 3.2118
La Nb B C
1 2 1 1
Cartesian
0.0000 0.0000 0.0000
0.0000 2.4304 1.6059
2.4304 0.0000 1.6059
2.4304 2.4304 1.6059
2.4304 2.4304 0.0000

=====

# 14
GGA-PBE LaNbB2C, relaxed; space group = P4/mmm (123); mass density = 5487 kg/m3; final energy = -7.06 eV/atom; DOS(E_F) = 0.436 states/eV/atom; V = 80.3 Å³/cell
1.0
4.3457 0.0000 0.0000
0.0000 4.3457 0.0000
0.0000 0.0000 4.2540
La Nb B C
1 1 2 1
Cartesian
0.0000 0.0000 0.0000
2.1729 2.1729 2.1270
0.0000 2.1729 2.1270
2.1729 0.0000 2.1270
2.1729 2.1729 0.0000

=====

# 15
GGA-PBE LaBC2O, relaxed; space group = P4/mmm (123); mass density = 5206 kg/m3; final energy = -6.94 eV/atom; formation energy without anion corrections = 0.060 eV/atom; DOS(E_F) = 0.419 states/eV/atom; V = 60.5 Å³/cell
1.0
3.3352 0.0000 0.0000
0.0000 3.3352 0.0000
0.0000 0.0000 5.4405
La B C O
1 1 2 1
Cartesian
0.0000 0.0000 0.0000
1.6676 1.6676 2.7202
0.0000 1.6676 2.7202
1.6676 0.0000 2.7202
1.6676 1.6676 0.0000

=====

# 16
GGA-PBE LaBOs2C, relaxed; space group = P4/mmm (123); mass density = 8364 kg/m3; final energy = -4.62 eV/atom; DOS(E_F) = 0.869 states/eV/atom; V = 107.6 Å³/cell
1.0
4.8788 0.0000 0.0000
0.0000 4.8788 0.0000
0.0000 0.0000 4.5222
La B Os C
1 1 2 1
Cartesian
0.0000 0.0000 0.0000
0.0000 0.0000 2.2611
0.0000 2.4394 0.0000
2.4394 0.0000 0.0000
2.4394 2.4394 2.2611

=====

# 17
GGA-PBE LaB2Pd2C, relaxed; space group = I4/mmm (139); mass density = 7836 kg/m3; final energy = -6.84 eV/atom; DOS(E_F) = 0.328 states/eV/atom; V = 81.7 Å³/cell
1.0
-1.9848 1.9848 5.1822
1.9848 -1.9848 5.1822
1.9848 1.9848 -5.1822
La B Pd C
1 2 2 1
Cartesian
0.0000 0.0000 0.0000
0.0000 0.0000 3.7026
0.0000 0.0000 6.6617
1.9848 0.0000 2.5911
0.0000 1.9848 2.5911
0.0000 0.0000 5.1822

=====

# 18
GGA-PBE LaB2Pt2C, relaxed; space group = I4/mmm (139); mass density = 11395 kg/m3; final energy = -7.25 eV/atom; DOS(E_F) = 0.330 states/eV/atom; V = 82.0 Å³/cell
1.0
-1.9480 1.9480 5.4023
1.9480 -1.9480 5.4023
1.9480 1.9480 -5.4023
La B Pt C
1 2 2 1
Cartesian
0.0000 0.0000 0.0000
0.0000 0.0000 3.9147
0.0000 0.0000 6.8898
1.9480 0.0000 2.7011
0.0000 1.9480 2.7011
0.0000 0.0000 5.4023

=====

# 19
GGA-PBE RbLaB6C6, relaxed; space group = Pm-3 (200); mass density = 5036 kg/m3; final energy = -6.99 eV/atom; DOS(E_F) = 0.145 states/eV/atom; V = 119.1 Å³/cell
1.0
4.9206 0.0000 0.0000
0.0000 4.9206 0.0000
0.0000 0.0000 4.9206
Rb La B C
1 1 6 6
Cartesian
0.0000 0.0000 0.0000
2.4603 2.4603 2.4603
0.0000 1.2170 2.4603
0.0000 3.7035 2.4603
1.2170 2.4603 0.0000
2.4603 0.0000 1.2170
2.4603 0.0000 3.7035
3.7035 2.4603 0.0000
0.0000 2.4603 1.2647
0.0000 2.4603 3.6558
1.2647 0.0000 2.4603
2.4603 1.2647 0.0000
2.4603 3.6558 0.0000
3.6558 0.0000 2.4603

=====

# 20
GGA-PBE La2Re2B2C, relaxed; space group = C2/m (12); mass density = 9381 kg/m3; final energy = -8.51 eV/atom; DOS(E_F) = 0.479 states/eV/atom; V = 121.1 Å³/cell
1.0
5.5558 -1.8773 0.0000
5.5558 1.8773 0.0000
-3.8931 0.0000 5.8031
La Re B C
2 2 2 1
Cartesian
-0.4861 0.0000 1.9230
7.7046 0.0000 3.8801
-0.2231 0.0000 5.3054
7.4416 0.0000 0.4977
2.4760 0.0000 1.3690
4.7425 0.0000 4.4341
5.5558 0.0000 0.0000